Entry 1:
ScRe4Mo | PBE-GGA | optimized geometry

Cell: 5.2091 5.2091 5.2091 Å, 60.00 60.00 60.00°
Atoms (fractional coordinates):
Sc1 0.2500 0.2500 0.2500
Re1 0.6244 0.6244 0.1267
Re2 0.6244 0.1267 0.6244
Re3 0.6244 0.6244 0.6244
Re4 0.1267 0.6244 0.6244
Mo1 0.0000 0.0000 0.0000

Results
Space group: F-43m (216)
DOS(E_F) (states/eV/atom): 1.27
Raw total energy (eV per atom): -11.154
V (Å³/cell): 99.9
Energy of formation from the pure elements (eV per formula unit): 0.03



Entry 2:
CaCuPdF6 | PBE-GGA | optimized geometry

Cell: 4.9990 4.9990 10.1493 Å, 90.00 90.00 90.00°
Atoms (fractional coordinates):
Ca1 0.5000 0.5000 0.1658
Ca2 0.0000 0.0000 0.6658
Cu1 0.5000 0.5000 0.4985
Cu2 0.0000 0.0000 0.9985
Pd1 0.5000 0.5000 0.8351
Pd2 0.0000 0.0000 0.3351
F1 0.2117 0.7883 0.4929
F2 0.7883 0.2117 0.4929
F3 0.2883 0.2883 0.9929
F4 0.7117 0.7117 0.9929
F5 0.1833 0.8167 0.1619
F6 0.8167 0.1833 0.1619
F7 0.3167 0.3167 0.6619
F8 0.6833 0.6833 0.6619
F9 0.8029 0.1971 0.8455
F10 0.1971 0.8029 0.8455
F11 0.6971 0.6971 0.3455
F12 0.3029 0.3029 0.3455

Results
Formation energy from raw total energies (eV per atom): -2.158
Space group: P4_2nm (102)
DOS(E_F) (states/eV/atom): 0.48
Raw total energy (eV per atom): -4.660
V (Å³/cell): 253.6



Entry 3:
Mg2Ga2As | PBE-GGA | optimized geometry

Cell: 6.9906 6.9906 4.1196 Å, 90.00 90.00 90.00°
Atoms (fractional coordinates):
As1 0.0000 0.0000 0.0000
As2 0.5000 0.5000 0.0000
Mg1 0.1713 0.6713 0.5000
Mg2 0.6713 0.8287 0.5000
Mg3 0.8287 0.3287 0.5000
Mg4 0.3287 0.1713 0.5000
Ga1 0.3691 0.8691 0.0000
Ga2 0.8691 0.6309 0.0000
Ga3 0.6309 0.1309 0.0000
Ga4 0.1309 0.3691 0.0000

Results
Space group: P4/mbm (127)
DOS(E_F) (states/eV/atom): 0.36
Raw total energy (eV per atom): -2.868
V (Å³/cell): 201.3
Energy of formation from the pure elements (eV per formula unit): -0.45



Entry 4:
AcPrHoTh | PBE-GGA | optimized geometry

Cell: 5.8698 5.8698 5.8698 Å, 60.00 60.00 60.00°
Atoms (fractional coordinates):
Pr1 0.5000 0.5000 0.5000
Ac1 0.2500 0.2500 0.2500
Ho1 0.0000 0.0000 0.0000
Th1 0.7500 0.7500 0.7500

Results
Space group: F-43m (216)
DOS(E_F) (states/eV/atom): 1.87
Raw total energy (eV per atom): -5.041
V (Å³/cell): 143.0
Energy of formation from the pure elements (eV per formula unit): 0.72